(1)
Crystalline BiRh2Pb at its relaxed geometry, computed with PBE.

Results
Energy of formation, eV/atom: 0.37
Symmetry: I-42d (122)

Lattice parameters (Å, degrees): 6.2475 6.2475 11.6110 90.00 90.00 90.00
Last column: nearest neighbours and their distance in Å.
Fractional positions:
Bi1 0.0000 0.0000 0.0000  4 Rh 2.63
Bi2 0.0000 0.5000 0.2500  4 Rh 2.63
Bi3 0.5000 0.0000 0.7500  4 Rh 2.63
Bi4 0.5000 0.5000 0.5000  4 Rh 2.63
Rh1 0.2457 0.2500 0.1250  2 Bi 2.63, 2 Pb 2.66
Rh2 0.2500 0.7457 0.3750  2 Bi 2.63, 2 Pb 2.66
Rh3 0.2500 0.7543 0.8750  2 Bi 2.63, 2 Pb 2.66
Rh4 0.2543 0.2500 0.6250  2 Bi 2.63, 2 Pb 2.66
Rh5 0.7457 0.7500 0.6250  2 Bi 2.63, 2 Pb 2.66
Rh6 0.7500 0.2457 0.8750  2 Bi 2.63, 2 Pb 2.66
Rh7 0.7500 0.2543 0.3750  2 Bi 2.63, 2 Pb 2.66
Rh8 0.7543 0.7500 0.1250  2 Bi 2.63, 2 Pb 2.66
Pb1 0.0000 0.0000 0.5000  4 Rh 2.66
Pb2 0.0000 0.5000 0.7500  4 Rh 2.66
Pb3 0.5000 0.0000 0.2500  4 Rh 2.66
Pb4 0.5000 0.5000 0.0000  4 Rh 2.66

(2)
Crystalline Co2HgBiOs at its relaxed geometry, computed with PBE.

Results
Energy of formation, eV/atom: 1.88
Symmetry: P4/mmm (123)

Lattice parameters (Å, degrees): 4.7583 4.7583 5.0987 90.00 90.00 90.00
Last column: nearest neighbours and their distance in Å.
Fractional positions:
Co1 0.0000 0.5000 0.0000  2 Bi 2.38
Co2 0.5000 0.0000 0.0000  2 Bi 2.38
Hg1 0.0000 0.0000 0.5000  4 Os 3.36, 8 Co 3.49
Bi1 0.5000 0.5000 0.0000  4 Co 2.38, 2 Os 2.55
Os1 0.5000 0.5000 0.5000  2 Bi 2.55

(3)
Crystalline MnBeZn2Os at its relaxed geometry, computed with PBE.

Results
Energy of formation, eV/atom: 0.80
Symmetry: P4/mmm (123)

Lattice parameters (Å, degrees): 4.0649 4.0649 4.0486 90.00 90.00 90.00
Last column: nearest neighbours and their distance in Å.
Fractional positions:
Mn1 0.0000 0.0000 0.0000  2 Be 2.02
Be1 0.0000 0.0000 0.5000  2 Mn 2.02, 4 Zn 2.03
Zn1 0.0000 0.5000 0.5000  2 Be 2.03
Zn2 0.5000 0.0000 0.5000  2 Be 2.03
Os1 0.5000 0.5000 0.0000  8 Zn 2.87, 4 Mn 2.87

(4)
Crystalline BeInAs2 at its relaxed geometry, computed with PBE.

Results
Energy of formation, eV/atom: 0.58
Symmetry: F-43m (216)

Lattice parameters (Å, degrees): 6.7262 6.7262 6.7262 90.00 90.00 90.00
Last column: nearest neighbours and their distance in Å.
Fractional positions:
Be1 0.0000 0.0000 0.0000  4 As 2.91, 4 In 2.91
Be2 0.0000 0.5000 0.5000  4 As 2.91, 4 In 2.91
Be3 0.5000 0.0000 0.5000  4 As 2.91, 4 In 2.91
Be4 0.5000 0.5000 0.0000  4 As 2.91, 4 In 2.91
In1 0.2500 0.2500 0.2500  4 Be 2.91, 4 As 2.91
In2 0.2500 0.7500 0.7500  4 Be 2.91, 4 As 2.91
In3 0.7500 0.2500 0.7500  4 Be 2.91, 4 As 2.91
In4 0.7500 0.7500 0.2500  4 Be 2.91, 4 As 2.91
As1 0.0000 0.0000 0.5000  4 In 2.91, 4 As 2.91
As2 0.0000 0.5000 0.0000  4 In 2.91, 4 As 2.91
As3 0.2500 0.2500 0.7500  4 As 2.91, 4 Be 2.91
As4 0.2500 0.7500 0.2500  4 As 2.91, 4 Be 2.91
As5 0.5000 0.0000 0.0000  4 In 2.91, 4 As 2.91
As6 0.5000 0.5000 0.5000  4 In 2.91, 4 As 2.91
As7 0.7500 0.2500 0.2500  4 As 2.91, 4 Be 2.91
As8 0.7500 0.7500 0.7500  4 As 2.91, 4 Be 2.91

(5)
Crystalline KTeRu at its relaxed geometry, computed with PBE.

Results
Polymorph energy (0 for the lowest one), meV per atom: 1607
E_form (uncorrected), eV per atom: 1.33
Symmetry: F-43m (216)

Lattice parameters (Å, degrees): 7.3723 7.3723 7.3723 90.00 90.00 90.00
Last column: nearest neighbours and their distance in Å.
Fractional positions:
K1 0.0000 0.0000 0.0000  4 Te 3.19, 4 Ru 3.19
K2 0.0000 0.5000 0.5000  4 Te 3.19, 4 Ru 3.19
K3 0.5000 0.0000 0.5000  4 Te 3.19, 4 Ru 3.19
K4 0.5000 0.5000 0.0000  4 Te 3.19, 4 Ru 3.19
Te1 0.2500 0.2500 0.7500  4 K 3.19
Te2 0.2500 0.7500 0.2500  4 K 3.19
Te3 0.7500 0.2500 0.2500  4 K 3.19
Te4 0.7500 0.7500 0.7500  4 K 3.19
Ru1 0.2500 0.2500 0.2500  4 K 3.19
Ru2 0.2500 0.7500 0.7500  4 K 3.19
Ru3 0.7500 0.2500 0.7500  4 K 3.19
Ru4 0.7500 0.7500 0.2500  4 K 3.19

(6)
Crystalline BeCoSe2 at its relaxed geometry, computed with PBE.

Results
E_form (uncorrected), eV per atom: -0.10
Symmetry: P4mm (99)

Lattice parameters (Å, degrees): 3.1782 3.1782 7.0871 90.00 90.00 90.00
Last column: nearest neighbours and their distance in Å.
Fractional positions:
Be1 0.0000 0.0000 0.0000  5 Se 2.35-2.46
Co1 0.5000 0.5000 0.1940  5 Se 2.37-2.45, 4 Be 2.63
Se1 0.0000 0.0000 0.3312  1 Be 2.35, 4 Co 2.45
Se2 0.5000 0.5000 0.8596  1 Co 2.37, 4 Be 2.46

(7)
Crystalline Sr6NiAg2 at its relaxed geometry, computed with PBE.

Results
Energy of formation, eV/atom: -0.15
Symmetry: P2_1/c (14)

Lattice parameters (Å, degrees): 7.4271 8.5118 13.1964 90.00 123.94 90.00
Last column: nearest neighbours and their distance in Å.
Fractional positions:
Sr1 0.0961 0.1898 0.4384  1 Ni 2.96
Sr2 0.0961 0.3102 0.9384  1 Ni 2.96
Sr3 0.2668 0.6693 0.4373  1 Ni 2.92
Sr4 0.2668 0.8307 0.9373  1 Ni 2.92
Sr5 0.3870 0.0361 0.2482  1 Ni 2.93
Sr6 0.3870 0.4639 0.7482  1 Ni 2.93
Sr7 0.6130 0.5361 0.2518  1 Ni 2.93
Sr8 0.6130 0.9639 0.7518  1 Ni 2.93
Sr9 0.7332 0.1693 0.0627  1 Ni 2.92
Sr10 0.7332 0.3307 0.5627  1 Ni 2.92
Sr11 0.9039 0.6898 0.0616  1 Ni 2.96
Sr12 0.9039 0.8102 0.5616  1 Ni 2.96
Ni1 0.0000 0.0000 0.0000  6 Sr 2.92-2.96
Ni2 0.0000 0.5000 0.5000  6 Sr 2.92-2.96
Ag1 0.1900 0.1157 0.7432  6 Sr 3.29-3.44
Ag2 0.1900 0.3843 0.2432  6 Sr 3.29-3.44
Ag3 0.8100 0.6157 0.7568  6 Sr 3.29-3.44
Ag4 0.8100 0.8843 0.2568  6 Sr 3.29-3.44

(8)
Crystalline B2H6S at its relaxed geometry, computed with PBE.

Results
Polymorph energy (0 for the lowest one), meV per atom: 0
Symmetry: C2/c (15)

Lattice parameters (Å, degrees): 8.0372 8.0372 3.3524 90.86 90.86 76.46
Last column: nearest neighbours and their distance in Å.
Fractional positions:
B1 0.1128 0.2471 0.2565  4 H 1.19-1.31
B2 0.2471 0.1128 0.7565  4 H 1.19-1.31
B3 0.7529 0.8872 0.2435  4 H 1.19-1.31
B4 0.8872 0.7529 0.7435  4 H 1.19-1.31
H1 0.0384 0.7324 0.8082  1 B 1.20
H2 0.0962 0.1831 0.6040  2 B 1.30-1.31
H3 0.1763 0.3662 0.2452  1 B 1.19
H4 0.1831 0.0962 0.1040  2 B 1.30-1.31
H5 0.2676 0.9616 0.6918  1 B 1.20
H6 0.3662 0.1763 0.7452  1 B 1.19
H7 0.6338 0.8237 0.2548  1 B 1.19
H8 0.7324 0.0384 0.3082  1 B 1.20
H9 0.8169 0.9038 0.8960  2 B 1.30-1.31
H10 0.8237 0.6338 0.7548  1 B 1.19
H11 0.9038 0.8169 0.3960  2 B 1.30-1.31
H12 0.9616 0.2676 0.1918  1 B 1.20
S1 0.4345 0.5655 0.7500  2 S 2.12
S2 0.5655 0.4345 0.2500  2 S 2.12

(9)
Crystalline ZrRu2I at its relaxed geometry, computed with PBE.

Results
Polymorph energy (0 for the lowest one), meV per atom: 0
E_form (uncorrected), eV per atom: 0.42
Symmetry: Fm-3m (225)

Lattice parameters (Å, degrees): 6.6384 6.6384 6.6384 90.00 90.00 90.00
Last column: nearest neighbours and their distance in Å.
Fractional positions:
Zr1 0.0000 0.0000 0.0000  8 Ru 2.87
Zr2 0.0000 0.5000 0.5000  8 Ru 2.87
Zr3 0.5000 0.0000 0.5000  8 Ru 2.87
Zr4 0.5000 0.5000 0.0000  8 Ru 2.87
Ru1 0.2500 0.2500 0.2500  4 Zr 2.87, 4 I 2.87
Ru2 0.2500 0.2500 0.7500  4 Zr 2.87, 4 I 2.87
Ru3 0.2500 0.7500 0.2500  4 Zr 2.87, 4 I 2.87
Ru4 0.2500 0.7500 0.7500  4 Zr 2.87, 4 I 2.87
Ru5 0.7500 0.2500 0.2500  4 Zr 2.87, 4 I 2.87
Ru6 0.7500 0.2500 0.7500  4 Zr 2.87, 4 I 2.87
Ru7 0.7500 0.7500 0.2500  4 Zr 2.87, 4 I 2.87
Ru8 0.7500 0.7500 0.7500  4 Zr 2.87, 4 I 2.87
I1 0.0000 0.0000 0.5000  8 Ru 2.87
I2 0.0000 0.5000 0.0000  8 Ru 2.87
I3 0.5000 0.0000 0.0000  8 Ru 2.87
I4 0.5000 0.5000 0.5000  8 Ru 2.87

(10)
Crystalline Co5Ni4Pt4 at its relaxed geometry, computed with PBE.

Results
Energy of formation, eV/atom: -0.07
Symmetry: I4/m (87)

Lattice parameters (Å, degrees): 6.8851 6.8851 6.8851 94.19 94.19 148.62
Last column: nearest neighbours and their distance in Å.
Fractional positions:
Co1 0.0000 0.0000 0.0000  4 Pt 2.56, 8 Co 2.57
Co2 0.3145 0.4614 0.7759  4 Co 2.51-2.57, 5 Pt 2.58-2.68, 3 Ni 2.63-2.70
Co3 0.4614 0.6855 0.1470  4 Co 2.51-2.57, 5 Pt 2.58-2.68, 3 Ni 2.63-2.70
Co4 0.5386 0.3145 0.8530  4 Co 2.51-2.57, 5 Pt 2.58-2.68, 3 Ni 2.63-2.70
Co5 0.6855 0.5386 0.2241  4 Co 2.51-2.57, 5 Pt 2.58-2.68, 3 Ni 2.63-2.70
Ni1 0.0758 0.6097 0.6855  5 Ni 2.50-2.57, 4 Pt 2.56-2.71, 3 Co 2.63-2.70
Ni2 0.3903 0.0758 0.4661  5 Ni 2.50-2.57, 4 Pt 2.56-2.71, 3 Co 2.63-2.70
Ni3 0.6097 0.9242 0.5339  5 Ni 2.50-2.57, 4 Pt 2.56-2.71, 3 Co 2.63-2.70
Ni4 0.9242 0.3903 0.3145  5 Ni 2.50-2.57, 4 Pt 2.56-2.71, 3 Co 2.63-2.70
Pt1 0.1458 0.2310 0.3768  4 Ni 2.56-2.71, 6 Co 2.56-2.68, 2 Pt 2.72
Pt2 0.2310 0.8542 0.0852  4 Ni 2.56-2.71, 6 Co 2.56-2.68, 2 Pt 2.72
Pt3 0.7690 0.1458 0.9148  4 Ni 2.56-2.71, 6 Co 2.56-2.68, 2 Pt 2.72
Pt4 0.8542 0.7690 0.6232  4 Ni 2.56-2.71, 6 Co 2.56-2.68, 2 Pt 2.72

(11)
Crystalline Ce2PuSnN5 at its relaxed geometry, computed with PBE.

Results
E_form (uncorrected), eV per atom: -0.88
Symmetry: Cmc2_1 (36)

Lattice parameters (Å, degrees): 7.2500 7.2500 11.3244 90.00 90.00 151.98
Last column: nearest neighbours and their distance in Å.
Fractional positions:
Ce1 0.1312 0.8688 0.5000  6 N 2.36-2.51
Ce2 0.1318 0.8682 0.9755  3 N 2.32-2.36
Ce3 0.8682 0.1318 0.4755  3 N 2.32-2.36
Ce4 0.8688 0.1312 0.0000  6 N 2.36-2.51
Pu1 0.2341 0.7659 0.2488  6 N 2.24-2.38
Pu2 0.7659 0.2341 0.7488  6 N 2.24-2.38
Sn1 0.4986 0.5014 0.7368  4 N 2.09
Sn2 0.5014 0.4986 0.2368  4 N 2.09
N1 0.0688 0.9312 0.2925  2 Sn 2.09
N2 0.2747 0.7253 0.6075  1 Ce 2.36, 2 Pu 2.38
N3 0.2808 0.7192 0.8880  3 Ce 2.32-2.49, 2 Pu 2.37
N4 0.3768 0.6232 0.3372  1 Sn 2.09, 1 Pu 2.24
N5 0.4770 0.5230 0.0551  1 Sn 2.09
N6 0.5230 0.4770 0.5551  1 Sn 2.09
N7 0.6232 0.3768 0.8372  1 Sn 2.09, 1 Pu 2.24
N8 0.7192 0.2808 0.3880  3 Ce 2.32-2.49, 2 Pu 2.37
N9 0.7253 0.2747 0.1075  1 Ce 2.36, 2 Pu 2.38
N10 0.9312 0.0688 0.7925  2 Sn 2.09

(12)
Crystalline MgZrAg2 at its relaxed geometry, computed with PBE.

Results
Energy of formation, eV/atom: 0.00
Symmetry: I-4m2 (119)

Lattice parameters (Å, degrees): 4.7396 4.7396 6.7573 90.00 90.00 90.00
Last column: nearest neighbours and their distance in Å.
Fractional positions:
Mg1 0.0000 0.0000 0.0000  4 Zr 2.91, 4 Ag 2.91
Mg2 0.5000 0.5000 0.5000  4 Zr 2.91, 4 Ag 2.91
Zr1 0.0000 0.5000 0.7500  4 Mg 2.91, 4 Ag 2.91
Zr2 0.5000 0.0000 0.2500  4 Mg 2.91, 4 Ag 2.91
Ag1 0.0000 0.0000 0.5000  4 Zr 2.91, 4 Ag 2.91
Ag2 0.0000 0.5000 0.2500  4 Mg 2.91, 4 Ag 2.91
Ag3 0.5000 0.0000 0.7500  4 Mg 2.91, 4 Ag 2.91
Ag4 0.5000 0.5000 0.0000  4 Zr 2.91, 4 Ag 2.91

(13)
Crystalline Pm5Tl2In2 at its relaxed geometry, computed with PBE.

Results
Polymorph energy (0 for the lowest one), meV per atom: 0
Energy of formation, eV/atom: -0.37
Symmetry: Cmce (64)

Lattice parameters (Å, degrees): 9.2740 9.2740 8.0720 90.00 90.00 54.26
Last column: nearest neighbours and their distance in Å.
Fractional positions:
Pm1 0.0000 0.0000 0.0000  4 In 3.23-3.33, 2 Tl 3.50
Pm2 0.0471 0.6748 0.6715  3 Tl 3.23-3.31, 3 In 3.26-3.51
Pm3 0.1748 0.5471 0.1715  3 Tl 3.23-3.31, 3 In 3.26-3.51
Pm4 0.3252 0.9529 0.6715  3 Tl 3.23-3.31, 3 In 3.26-3.51
Pm5 0.4529 0.8252 0.1715  3 Tl 3.23-3.31, 3 In 3.26-3.51
Pm6 0.5000 0.5000 0.5000  4 In 3.23-3.33, 2 Tl 3.50
Pm7 0.5471 0.1748 0.8285  3 Tl 3.23-3.31, 3 In 3.26-3.51
Pm8 0.6748 0.0471 0.3285  3 Tl 3.23-3.31, 3 In 3.26-3.51
Pm9 0.8252 0.4529 0.8285  3 Tl 3.23-3.31, 3 In 3.26-3.51
Pm10 0.9529 0.3252 0.3285  3 Tl 3.23-3.31, 3 In 3.26-3.51
Tl1 0.2119 0.2119 0.0000  7 Pm 3.23-3.50
Tl2 0.2881 0.2881 0.5000  7 Pm 3.23-3.50
Tl3 0.7119 0.7119 0.5000  7 Pm 3.23-3.50
Tl4 0.7881 0.7881 0.0000  7 Pm 3.23-3.50
In1 0.1244 0.8756 0.3782  1 In 2.88
In2 0.3756 0.6244 0.8782  1 In 2.88
In3 0.6244 0.3756 0.1218  1 In 2.88
In4 0.8756 0.1244 0.6218  1 In 2.88

In Ha/atom, the calculated total energy values for the records above are, in order, -0.191; -0.149; -0.167; -0.123; -0.117; -0.167; -0.094; -0.151; -0.248; -0.237; -0.326; -0.145; -0.152.